Compound: AlRuSe
Source: the Alexandria database
Functional: PBE
Structure: optimized geometry

## Properties
N(E_F) = 2.9 states/eV/cell
ΔE_f (raw) = 19 meV per atom
Crystal system = hexagonal

Cell: 4.2794 4.2794 2.9987 Å, 90.00 90.00 120.00°
Space group P-6m2 (No. 187)
Unique sites:
Al 0.0000 0.0000 0.0000
Ru 0.6667 0.3333 0.5000
Se 0.3333 0.6667 0.5000